1.
A plane-wave DFT calculation with GGA-PBE was carried out for crystalline KReH2 at its relaxed geometry.

The energy relative to the lowest polymorph listed for this composition is 1103.7 meV per atom. The calculation puts the size of the total moment at 14.39 μB per cell.

It has space group Fm-3m (No. 225), with a = 6.140 Å, b = 6.140 Å, c = 6.140 Å, α = 90.00°, β = 90.00° and γ = 90.00°. The asymmetric unit holds K at (0.000, 0.000, 0.000), Re at (0.000, 0.000, 0.500) and H at (0.250, 0.250, 0.250).

***

2.
A plane-wave DFT calculation with GGA-PBE was carried out for crystalline Tb3Sm2Hg4 at its relaxed geometry.

The calculation puts the energy of formation from the pure elements at -0.3370 eV/atom. The calculation puts the size of the total moment at 0.01 μB per cell.

It has space group Cmce (No. 64), with a = 6.996 Å, b = 18.023 Å, c = 8.156 Å, α = 90.00°, β = 90.00° and γ = 90.00°. The asymmetric unit holds Tb at (0.000, 0.000, 0.000), Tb at (0.250, 0.239, 0.250), Sm at (0.000, 0.095, 0.588), Hg at (0.000, 0.167, 0.969) and Hg at (0.250, 0.066, 0.250).

***

Calculated total DFT energy (no corrections), -52.13, -110.28 eV/cell (same order as the records).